Computed, not measured: a relaxed structure of NaMg2FeS at the PBE level of DFT.

```
NaMg2FeS
1.0
4.8758 0.0000 0.0000
0.0000 4.8758 0.0000
0.0000 0.0000 5.0155
Na Mg Fe S
1 2 1 1
direct
0.0000 0.0000 0.0000
0.0000 0.5000 0.5000
0.5000 0.0000 0.5000
0.5000 0.5000 0.0000
0.0000 0.0000 0.5000
```

Output
DFT total energy = -3.155 eV per atom
Formation energy (no corrections) = 0.2645 eV/atom
Symmetry = P4/mmm

Computed, not measured: a relaxed structure of NaMgFeSn2 at the PBE level of DFT.

```
NaMgFeSn2
1.0
4.9355 0.0000 0.0000
0.0000 4.9355 0.0000
0.0000 0.0000 4.9759
Na Mg Fe Sn
1 1 1 2
direct
0.0000 0.0000 0.0000
0.5000 0.5000 0.0000
0.5000 0.5000 0.5000
0.0000 0.5000 0.5000
0.5000 0.0000 0.5000
```

Output
DFT total energy = -3.855 eV per atom
Energy of formation from the pure elements = 0.021 eV/atom
Symmetry = P4/mmm

Computed, not measured: a relaxed structure of NaMg2ZnFe at the PBE level of DFT.

```
NaMg2ZnFe
1.0
4.9943 0.0000 0.0000
0.0000 4.9943 0.0000
0.0000 0.0000 5.1103
Na Mg Zn Fe
1 2 1 1
direct
0.0000 0.0000 0.0000
0.0000 0.5000 0.5000
0.5000 0.0000 0.5000
0.0000 0.0000 0.5000
0.5000 0.5000 0.0000
```

Output
DFT total energy = -2.046 eV per atom
Energy of formation from the pure elements = 0.803 eV/atom
Symmetry = P4/mmm

Computed, not measured: a relaxed structure of MgNb3Fe at the PBE level of DFT.

```
MgNb3Fe
1.0
4.6445 0.0000 0.0000
0.0000 4.6445 0.0000
0.0000 0.0000 4.6445
Mg Nb Fe
1 3 1
direct
0.0000 0.0000 0.0000
0.0000 0.5000 0.5000
0.5000 0.0000 0.5000
0.5000 0.5000 0.0000
0.5000 0.5000 0.5000
```

Output
Energy relative to the lowest polymorph listed for this composition = 0.000 eV/atom
DFT total energy = -7.451 eV per atom
Energy of formation from the pure elements = 0.603 eV/atom
Symmetry = Pm-3m

| no. | theoretical density (Mg/m³) |
| --- | --- |
| 1 | 2.2 |
| 2 | 4.7 |
| 3 | 2.5 |
| 4 | 5.9 |